! SrCoSO | the Open Quantum Materials Database | GGA+U | optimized geometry; values from VASP
&SYSTEM
  ibrav = 0, nat = 16, ntyp = 4
/
ATOMIC_SPECIES
Sr 87.62 Sr.upf
Co 58.93 Co.upf
S 32.06 S.upf
O 16.00 O.upf
CELL_PARAMETERS angstrom
6.035 0.000 0.000
0.000 8.874 0.000
0.000 0.000 5.830
ATOMIC_POSITIONS crystal
Sr 0.004 0.175 0.000
Sr 0.496 0.175 0.500
Sr 0.504 0.825 0.000
Sr 0.996 0.825 0.500
Co 0.095 0.576 0.933
Co 0.405 0.576 0.433
Co 0.595 0.424 0.933
Co 0.905 0.424 0.433
S 0.002 0.165 0.499
S 0.498 0.165 0.999
S 0.502 0.835 0.499
S 0.998 0.835 0.999
O 0.108 0.564 0.583
O 0.392 0.564 0.083
O 0.608 0.436 0.583
O 0.892 0.436 0.083
! E = -5.53 eV/atom
! Calculated volume = 19.51 Å³ per atom